TbTm2In9: optimized geometry, GGA-PBE.

Its raw total energy is -42.857 eV/cell. The energy of formation from the pure elements comes out at -386 meV per atom. As for the density of states at the Fermi level: 0.389 states/eV per atom.

The space group is P4/mmm (No. 123) and the conventional cell measures 4.627, 4.627 and 13.864 Å, with angles of 90.00, 90.00 and 90.00 degrees. The inequivalent atoms are Tb at (0.000, 0.000, 0.000), Tm at (0.000, 0.000, 0.334), In at (0.000, 0.500, 0.168), In at (0.000, 0.500, 0.500), In at (0.500, 0.500, 0.000) and In at (0.500, 0.500, 0.334).